BePtSe2O | PBE-GGA | relaxed

It has space group P4/mmm (No. 123), with a = 4.8909 Å, b = 4.8909 Å, c = 4.3042 Å, α = 90.00°, β = 90.00° and γ = 90.00°. The distinct sites, in fractional coordinates, are Be at (0.0000, 0.0000, 0.0000), Pt at (0.0000, 0.0000, 0.5000), Se at (0.0000, 0.5000, 0.5000) and O at (0.5000, 0.5000, 0.0000).

Its total moment is 0.06 μB per formula unit. The calculation puts the energy relative to the elements, uncorrected at 0.87 eV/atom. The calculation puts the total energy at -3.471 eV/atom.